(1)
The following is a DFT calculation (PBE) of crystalline CaYAl3 at its relaxed geometry.

Summary:
Volume ... 141.84 Å³/cell
ΔH_f (0 K) ... 0.787 eV/atom
Calculated density ... 2.46 Mg/m³
Total moment ... 0.0 μB/f.u.
Electronic total energy ... -3.1517 eV/atom

Cell: 5.2151 5.2151 5.2151 Å, 90.00 90.00 90.00°
Space group Pm-3m (No. 221)
One atom of each set of equivalent atoms:
Ca1 0.0000 0.0000 0.0000 (multiplicity 1)
Y1 0.5000 0.5000 0.5000 (multiplicity 1)
Al1 0.0000 0.0000 0.5000 (multiplicity 3)


(2)
The following is a DFT calculation (PBE) of crystalline CaYAl4 at its relaxed geometry.

Summary:
Volume ... 498.73 Å³/cell
ΔH_f (0 K) ... -0.415 eV/atom
Calculated density ... 3.16 Mg/m³
Total moment ... 0.0 μB/f.u.
Electronic total energy ... -4.3205 eV/atom

Cell: 7.9303 7.9303 7.9303 Å, 90.00 90.00 90.00°
Space group F-43m (No. 216)
One atom of each set of equivalent atoms:
Ca1 0.0000 0.0000 0.0000 (multiplicity 4)
Y1 0.2500 0.2500 0.7500 (multiplicity 4)
Al1 0.1248 0.1248 0.3752 (multiplicity 16)


(3)
The following is a DFT calculation (PBE) of crystalline CaY2Al at its relaxed geometry.

Summary:
Volume ... 234.94 Å³/cell
ΔH_f (0 K) ... -0.088 eV/atom
Calculated density ... 3.46 Mg/m³
Total moment ... 0.0 μB/f.u.
Electronic total energy ... -4.7559 eV/atom

Cell: 3.7694 5.3983 11.5461 Å, 90.00 90.00 90.00°
Space group Imm2 (No. 44)
One atom of each set of equivalent atoms:
Ca1 0.0000 0.0000 0.0000 (multiplicity 2)
Y1 0.0000 0.0000 0.5699 (multiplicity 2)
Y2 0.0000 0.5000 0.7878 (multiplicity 2)
Al1 0.0000 0.5000 0.2821 (multiplicity 2)